(1)
Computed, not measured: a PBEsol-optimized structure of KPtRh2 at the SCAN level of DFT.

Unit cell a=2.6532 b=4.0808 c=6.9376 alpha=90.00 beta=90.00 gamma=90.00
With the nearest neighbours (Å) after each atom.
Fractional coordinates of all 4 atoms:
1 Pt 0.5000 0.5000 0.5000  2 Pt 2.65, 8 Rh 2.72
2 Rh 0.0000 0.0000 0.6748  3 Rh 2.43-2.65
3 Rh 0.0000 0.0000 0.3252  3 Rh 2.43-2.65
4 K 0.5000 0.5000 0.0000  2 K 2.65

calculated volume: 18.8 A^3/atom
raw total energy: -144.38 eV for the cell shown
size of the total moment: 0.251 μB per atom
energy above the most stable polymorph in this dataset: 99 meV/atom
energy relative to the elements: 0.422 eV/atom

(2)
Computed, not measured: a PBEsol-optimized structure of KPtRh2 at the SCAN level of DFT.

Unit cell a=2.7279 b=3.4893 c=7.8349 alpha=90.00 beta=90.00 gamma=90.00
With the nearest neighbours (Å) after each atom.
Fractional coordinates of all 4 atoms:
1 Rh 0.5000 0.5000 0.1720  6 Rh 2.56-2.73, 1 Pt 2.79
2 K 0.0000 0.0000 0.5030  2 K 2.73
3 Pt 0.5000 0.5000 0.8158  5 Rh 2.68-2.79, 2 Pt 2.73
4 Rh 0.0000 0.0000 0.0091  6 Rh 2.56-2.73, 4 Pt 2.68

calculated volume: 18.6 A^3/atom
raw total energy: -144.78 eV for the cell shown
size of the total moment: 0.274 μB per atom
energy above the most stable polymorph in this dataset: 0 meV/atom
energy relative to the elements: 0.322 eV/atom

(3)
Computed, not measured: a PBEsol-optimized structure of KPtRh2 at the SCAN level of DFT.

Unit cell a=2.6659 b=4.1747 c=7.0710 alpha=90.00 beta=101.29 gamma=90.00
With the nearest neighbours (Å) after each atom.
Fractional coordinates of all 4 atoms:
1 Rh 0.7670 0.5000 0.1488  6 Rh 2.60-2.67, 2 Pt 2.69
2 K 0.4326 0.0000 0.5040  2 K 2.67
3 Pt 0.0921 0.5000 0.8125  4 Rh 2.59-2.69, 2 Pt 2.67
4 Rh 0.2083 0.0000 0.0347  2 Pt 2.59, 6 Rh 2.60-2.67

calculated volume: 19.3 A^3/atom
raw total energy: -144.69 eV for the cell shown
size of the total moment: 0.000 μB per atom
energy above the most stable polymorph in this dataset: 20 meV/atom
energy relative to the elements: 0.342 eV/atom

Please write out number 3 again, unchanged.
Computed, not measured: a PBEsol-optimized structure of KPtRh2 at the SCAN level of DFT.

Unit cell a=2.6659 b=4.1747 c=7.0710 alpha=90.00 beta=101.29 gamma=90.00
With the nearest neighbours (Å) after each atom.
Fractional coordinates of all 4 atoms:
1 Rh 0.7670 0.5000 0.1488  6 Rh 2.60-2.67, 2 Pt 2.69
2 K 0.4326 0.0000 0.5040  2 K 2.67
3 Pt 0.0921 0.5000 0.8125  4 Rh 2.59-2.69, 2 Pt 2.67
4 Rh 0.2083 0.0000 0.0347  2 Pt 2.59, 6 Rh 2.60-2.67

calculated volume: 19.3 A^3/atom
raw total energy: -144.69 eV for the cell shown
size of the total moment: 0.000 μB per atom
energy above the most stable polymorph in this dataset: 20 meV/atom
energy relative to the elements: 0.342 eV/atom